VASP calculation (PBE-GGA) on an optimized crystal structure of SmNi4SnP2.

abc: 3.9255 3.9255 7.9874
angles: 90.00 90.00 90.00
Closest atoms and distances in Å follow each position.
Element x y z (fractional)
1 Sm 0.0000 0.0000 0.5000  8 Ni 3.01, 8 P 3.03
2 Ni 0.0000 0.5000 0.2144  2 P 2.24
3 Ni 0.5000 0.0000 0.7856  2 P 2.24
4 Ni 0.5000 0.0000 0.2144  2 P 2.24
5 Ni 0.0000 0.5000 0.7856  2 P 2.24
6 Sn 0.0000 0.0000 0.0000  8 Ni 2.60
7 P 0.5000 0.5000 0.3491  4 Ni 2.24, 1 P 2.41
8 P 0.5000 0.5000 0.6509  4 Ni 2.24, 1 P 2.41

VASP energy = -47.7 eV for the cell shown
Formation energy = -60.7 kJ/mol of atoms
Total magnetization = 0.0000 μB per atom
Symmetry = P4/mmm (123)